Record 1
{"formula": "Tb2Pb2O5", "functional": "GGA-PBE", "state": "optimized geometry", "cell": [[4.334, 0.000, 0.000], [0.000, 4.334, 0.000], [0.000, 0.000, 8.247]], "species": ["Tb", "Tb", "Pb", "Pb", "O", "O", "O", "O", "O"], "fractional_positions": [[0.000, 0.000, 0.243], [0.000, 0.000, 0.757], [0.500, 0.500, 0.000], [0.500, 0.500, 0.500], [0.000, 0.000, 0.500], [0.000, 0.500, 0.192], [0.000, 0.500, 0.808], [0.500, 0.000, 0.192], [0.500, 0.000, 0.808]], "dft_energy_ev_per_atom": -6.743, "magmom_total_mub_per_atom": 0.00, "spacegroup": "P4/mmm", "polymorph_energy_mev_per_atom": 0}

***

Record 2
{"formula": "SnMo2Pd", "functional": "GGA-PBE", "state": "optimized geometry", "cell": [[0.000, 3.233, 3.233], [3.233, 0.000, 3.233], [3.233, 3.233, 0.000]], "species": ["Sn", "Mo", "Mo", "Pd"], "fractional_positions": [[0.000, 0.000, 0.000], [0.250, 0.250, 0.250], [0.500, 0.500, 0.500], [0.750, 0.750, 0.750]], "dft_energy_ev_per_atom": -7.531, "magmom_total_mub_per_atom": 0.13, "spacegroup": "F-43m"}

***

Record 3
{"formula": "TeIr9", "functional": "GGA-PBE", "state": "optimized geometry", "cell": [[2.783, 0.000, 0.000], [0.000, 3.824, 0.000], [0.000, 0.000, 40.477]], "species": ["Te", "Te", "Ir", "Ir", "Ir", "Ir", "Ir", "Ir", "Ir", "Ir", "Ir", "Ir", "Ir", "Ir", "Ir", "Ir", "Ir", "Ir", "Ir", "Ir"], "fractional_positions": [[0.250, 0.250, 0.177], [0.750, 0.750, 0.823], [0.250, 0.250, 0.249], [0.250, 0.250, 0.316], [0.250, 0.250, 0.383], [0.250, 0.250, 0.450], [0.250, 0.250, 0.517], [0.250, 0.250, 0.584], [0.250, 0.250, 0.651], [0.250, 0.250, 0.718], [0.250, 0.250, 0.788], [0.750, 0.750, 0.212], [0.750, 0.750, 0.282], [0.750, 0.750, 0.349], [0.750, 0.750, 0.416], [0.750, 0.750, 0.483], [0.750, 0.750, 0.550], [0.750, 0.750, 0.617], [0.750, 0.750, 0.684], [0.750, 0.750, 0.751]], "dft_energy_ev_per_atom": -8.183, "magmom_total_mub_per_atom": 0.00, "spacegroup": "Pmmn", "polymorph_energy_mev_per_atom": 0}